[1]
A geometry-optimized Ta2MnPt structure. Source: Alexandria, functional GGA-PBEsol.

Output
VASP energy: -10.718 eV per atom
D(E_F): 2.53 states/eV/f.u.
M_tot: 0.6375 μB/atom

Cell: 3.222 3.222 6.030 Å, 90.00 90.00 90.00°
Space group P4mm (No. 99)
Inequivalent atoms, fractional coordinates:
Ta1 0.000 0.000 0.000 [1 per cell]
Ta2 0.500 0.500 0.285 [1 per cell]
Mn1 0.000 0.000 0.505 [1 per cell]
Pt1 0.500 0.500 0.758 [1 per cell]

=====

[2]
A geometry-optimized HfBBr3 structure. Source: Alexandria, functional GGA-PBEsol.

Output
VASP energy: -4.239 eV per atom
D(E_F): 4.08 states/eV/f.u.
M_tot: 0.1958 μB/atom

Cell: 5.159 5.159 5.159 Å, 90.00 90.00 90.00°
Space group Pm-3m (No. 221)
Inequivalent atoms, fractional coordinates:
Hf1 0.000 0.000 0.000 [1 per cell]
B1 0.500 0.500 0.500 [1 per cell]
Br1 0.000 0.000 0.500 [3 per cell]

=====

[3]
A geometry-optimized Cs3AlC structure. Source: Alexandria, functional GGA-PBEsol.

Output
VASP energy: -1.760 eV per atom
D(E_F): 3.39 states/eV/f.u.
M_tot: 0.5643 μB/atom

Cell: 6.986 6.986 6.986 Å, 90.00 90.00 90.00°
Space group Pm-3m (No. 221)
Inequivalent atoms, fractional coordinates:
Cs1 0.000 0.000 0.500 [3 per cell]
Al1 0.000 0.000 0.000 [1 per cell]
C1 0.500 0.500 0.500 [1 per cell]

=====

[4]
A geometry-optimized Sc3Tc structure. Source: Alexandria, functional GGA-PBEsol.

Output
VASP energy: -7.703 eV per atom
D(E_F): 6.09 states/eV/f.u.
M_tot: 0.0219 μB/atom

Cell: 3.1713 3.1713 28.2061 Å, 90.00 90.00 120.00°
Space group R-3m (No. 166, hexagonal axes)
Inequivalent atoms, fractional coordinates:
Sc1 0.0000 0.0000 0.0000 [3 per cell]
Sc2 0.0000 0.0000 0.2346 [6 per cell]
Tc1 0.0000 0.0000 0.5000 [3 per cell]

=====

[5]
A geometry-optimized SrLiRe structure. Source: Alexandria, functional GGA-PBEsol.

Output
VASP energy: -4.789 eV per atom
D(E_F): 3.26 states/eV/f.u.
M_tot: 0.0007 μB/atom

Cell: 2.691 4.343 10.244 Å, 90.00 90.00 90.00°
Space group Imm2 (No. 44)
Inequivalent atoms, fractional coordinates:
Sr1 0.000 0.000 0.000 [2 per cell]
Li1 0.000 0.000 0.708 [2 per cell]
Re1 0.000 0.000 0.311 [2 per cell]

=====

[6]
A geometry-optimized SbAu2S2 structure. Source: Alexandria, functional GGA-PBEsol.

Output
VASP energy: -3.858 eV per atom
D(E_F): 2.76 states/eV/f.u.
M_tot: 0.0000 μB/atom

Cell: 4.174 4.174 11.207 Å, 90.00 90.00 90.00°
Space group I4/mmm (No. 139)
Inequivalent atoms, fractional coordinates:
Sb1 0.000 0.000 0.000 [2 per cell]
Au1 0.000 0.000 0.381 [4 per cell]
S1 0.000 0.500 0.250 [4 per cell]

=====

[7]
A geometry-optimized LiAlCoP2 structure. Source: Alexandria, functional GGA-PBEsol.

Output
VASP energy: -4.377 eV per atom
D(E_F): 4.70 states/eV/f.u.
M_tot: 0.3028 μB/atom

Cell: 4.614 4.614 4.399 Å, 90.00 90.00 90.00°
Space group P4/mmm (No. 123)
Inequivalent atoms, fractional coordinates:
Li1 0.000 0.000 0.000 [1 per cell]
Al1 0.500 0.500 0.500 [1 per cell]
Co1 0.500 0.500 0.000 [1 per cell]
P1 0.000 0.500 0.500 [2 per cell]

=====

[8]
A geometry-optimized K2BeAl structure. Source: Alexandria, functional GGA-PBEsol.

Output
VASP energy: -1.722 eV per atom
D(E_F): 2.90 states/eV/f.u.
M_tot: 0.0001 μB/atom

Cell: 3.869 5.158 5.896 Å, 90.00 90.00 90.00°
Space group Pmmm (No. 47)
Inequivalent atoms, fractional coordinates:
K1 0.000 0.000 0.246 [2 per cell]
Be1 0.500 0.500 0.000 [1 per cell]
Al1 0.500 0.500 0.500 [1 per cell]

=====

Q: Number 7 is which compound?
A: LiAlCoP2